A plane-wave DFT calculation with PBE was carried out for a relaxed structure of FeCo2Rh.

Properties
DOS(E_F) = 1.29 states/eV/atom
energy relative to the lowest polymorph listed for this composition = 0.028 eV/atom
electronic total energy = -7.457 eV/atom
ΔH_f (0 K) = 0.049 eV/atom

a = 2.628 Å, b = 3.570 Å, c = 5.208 Å
α = 90.00°, β = 90.00°, γ = 90.00°
Site moments in Bohr magnetons follow the coordinates.
Element x y z (fractional)
Co1 0.000 0.000 0.490  1.74
Co2 0.000 0.000 0.010  1.74
Fe1 0.500 0.500 0.250  2.78
Rh1 0.500 0.500 0.750  0.78